Entry from Alexandria: crystalline BaSnO4 at its relaxed geometry (GGA-PBE).

```
data_BaSnO4
_chemical_formula_sum 'Ba2 Sn2 O8'
_cell_length_a 5.4380
_cell_length_b 5.4380
_cell_length_c 7.2632
_cell_angle_alpha 90.00
_cell_angle_beta 90.00
_cell_angle_gamma 90.00
_space_group_name_H-M_alt 'P 42/n m c'
_space_group_IT_number 137
loop_
_space_group_symop_operation_xyz
'x,y,z'
'-x,-y,-z'
'-y+1/2,x,z+1/2'
'y+1/2,-x,-z+1/2'
'-x+1/2,-y+1/2,z'
'x+1/2,y+1/2,-z'
'y,-x+1/2,z+1/2'
'-y,x+1/2,-z+1/2'
'x+1/2,-y,-z'
'-x+1/2,y,z'
'-y,-x,-z+1/2'
'y,x,z+1/2'
'-x,y+1/2,-z'
'x,-y+1/2,z'
'y+1/2,x+1/2,-z+1/2'
'-y+1/2,-x+1/2,z+1/2'
loop_
_atom_site_label
_atom_site_fract_x
_atom_site_fract_y
_atom_site_fract_z
Ba1 0.2500 0.7500 0.2500
Sn1 0.2500 0.7500 0.7500
O1 0.0298 0.2500 0.0749
```

Formation energy from raw total energies = -1.16 eV/atom
Calculated total energy = -32.69 eV per formula unit